# 1
# ZrCd2GaN | the Alexandria database | GGA-PBEsol | relaxed
data_ZrCd2GaN
_chemical_formula_sum 'Zr1 Cd2 Ga1 N1'
_space_group_name_H-M_alt 'P 1'
_space_group_IT_number 1
_space_group_name_Hall 'P 1'
_cell_length_a 4.688
_cell_length_b 4.688
_cell_length_c 5.230
_cell_angle_alpha 90.00
_cell_angle_beta 90.00
_cell_angle_gamma 90.00
loop_
_atom_site_label
_atom_site_type_symbol
_atom_site_fract_x
_atom_site_fract_y
_atom_site_fract_z
_atom_site_occupancy
Cd1 Cd 0.000 0.500 0.000 1
Zr1 Zr 0.000 0.000 0.500 1
N1 N 0.500 0.500 0.500 1
Ga1 Ga 0.000 0.000 0.000 1
Cd2 Cd 0.500 0.000 0.000 1
# Size of the total moment, μB per formula unit: 0.60
# Formation energy from raw total energies, eV/atom: 1.33
# Total energy, eV/cell: -16.7


# 2
# NaCd2Ga2 | the Alexandria database | GGA-PBEsol | relaxed
data_NaCd2Ga2
_chemical_formula_sum 'Na1 Cd2 Ga2'
_space_group_name_H-M_alt 'P 1'
_space_group_IT_number 1
_space_group_name_Hall 'P 1'
_cell_length_a 4.022
_cell_length_b 4.022
_cell_length_c 7.233
_cell_angle_alpha 106.14
_cell_angle_beta 106.14
_cell_angle_gamma 90.00
loop_
_atom_site_label
_atom_site_type_symbol
_atom_site_fract_x
_atom_site_fract_y
_atom_site_fract_z
_atom_site_occupancy
Cd1 Cd 0.604 0.604 0.207 1
Ga1 Ga 0.750 0.250 0.500 1
Cd2 Cd 0.396 0.396 0.793 1
Na1 Na 0.000 0.000 0.000 1
Ga2 Ga 0.250 0.750 0.500 1
# Size of the total moment, μB per formula unit: 0.00
# ΔE_f, eV per atom: -0.022
# Total energy, eV/cell: -10.6


# 3
# Na2CdGa2 | the Alexandria database | GGA-PBEsol | relaxed
data_Na2CdGa2
_chemical_formula_sum 'Na2 Cd1 Ga2'
_space_group_name_H-M_alt 'P 1'
_space_group_IT_number 1
_space_group_name_Hall 'P 1'
_cell_length_a 4.047
_cell_length_b 4.047
_cell_length_c 7.520
_cell_angle_alpha 105.61
_cell_angle_beta 105.61
_cell_angle_gamma 90.00
loop_
_atom_site_label
_atom_site_type_symbol
_atom_site_fract_x
_atom_site_fract_y
_atom_site_fract_z
_atom_site_occupancy
Na1 Na 0.250 0.750 0.500 1
Cd1 Cd 0.000 0.000 0.000 1
Na2 Na 0.750 0.250 0.500 1
Ga1 Ga 0.412 0.412 0.823 1
Ga2 Ga 0.588 0.588 0.177 1
# Distance to the lowest polymorph of the same formula, meV per atom: 178.7
# Size of the total moment, μB per formula unit: 0.00
# ΔE_f, eV per atom: 0.143
# Total energy, eV/cell: -10.0


# 4
# Na2CdGa2 | the Alexandria database | GGA-PBEsol | relaxed
data_Na2CdGa2
_chemical_formula_sum 'Na4 Cd2 Ga4'
_space_group_name_H-M_alt 'P 1'
_space_group_IT_number 1
_space_group_name_Hall 'P 1'
_cell_length_a 4.900
_cell_length_b 6.867
_cell_length_c 6.867
_cell_angle_alpha 90.00
_cell_angle_beta 90.00
_cell_angle_gamma 90.00
loop_
_atom_site_label
_atom_site_type_symbol
_atom_site_fract_x
_atom_site_fract_y
_atom_site_fract_z
_atom_site_occupancy
Na1 Na 0.500 0.675 0.825 1
Ga1 Ga 0.000 0.373 0.873 1
Ga2 Ga 0.000 0.873 0.627 1
Ga3 Ga 0.000 0.627 0.127 1
Na2 Na 0.500 0.825 0.325 1
Cd1 Cd 0.000 0.500 0.500 1
Cd2 Cd 0.000 0.000 0.000 1
Ga4 Ga 0.000 0.127 0.373 1
Na3 Na 0.500 0.175 0.675 1
Na4 Na 0.500 0.325 0.175 1
# Distance to the lowest polymorph of the same formula, meV per atom: 0.0
# Size of the total moment, μB per formula unit: 0.00
# ΔE_f, eV per atom: -0.036
# Total energy, eV/cell: -21.7


# 5
# NaCd3Ga | the Alexandria database | GGA-PBEsol | relaxed
data_NaCd3Ga
_chemical_formula_sum 'Na1 Cd3 Ga1'
_space_group_name_H-M_alt 'P 1'
_space_group_IT_number 1
_space_group_name_Hall 'P 1'
_cell_length_a 5.170
_cell_length_b 5.170
_cell_length_c 5.170
_cell_angle_alpha 90.00
_cell_angle_beta 90.00
_cell_angle_gamma 90.00
loop_
_atom_site_label
_atom_site_type_symbol
_atom_site_fract_x
_atom_site_fract_y
_atom_site_fract_z
_atom_site_occupancy
Na1 Na 0.500 0.500 0.500 1
Cd1 Cd 0.500 0.000 0.000 1
Cd2 Cd 0.000 0.000 0.500 1
Ga1 Ga 0.000 0.000 0.000 1
Cd3 Cd 0.000 0.500 0.000 1
# Size of the total moment, μB per formula unit: 0.00
# ΔE_f, eV per atom: 0.189
# Total energy, eV/cell: -7.4


# 6
# Na2CdGa2 | the Alexandria database | GGA-PBEsol | relaxed
data_Na2CdGa2
_chemical_formula_sum 'Na2 Cd1 Ga2'
_space_group_name_H-M_alt 'P 1'
_space_group_IT_number 1
_space_group_name_Hall 'P 1'
_cell_length_a 3.658
_cell_length_b 3.658
_cell_length_c 9.604
_cell_angle_alpha 100.98
_cell_angle_beta 100.98
_cell_angle_gamma 90.00
loop_
_atom_site_label
_atom_site_type_symbol
_atom_site_fract_x
_atom_site_fract_y
_atom_site_fract_z
_atom_site_occupancy
Ga1 Ga 0.750 0.250 0.500 1
Cd1 Cd 0.000 0.000 0.000 1
Na1 Na 0.393 0.393 0.786 1
Na2 Na 0.607 0.607 0.214 1
Ga2 Ga 0.250 0.750 0.500 1
# Distance to the lowest polymorph of the same formula, meV per atom: 78.2
# Size of the total moment, μB per formula unit: 0.00
# ΔE_f, eV per atom: 0.042
# Total energy, eV/cell: -10.5


# 7
# NbTl2CdGa | the Alexandria database | GGA-PBEsol | relaxed
data_NbTl2CdGa
_chemical_formula_sum 'Nb1 Tl2 Cd1 Ga1'
_space_group_name_H-M_alt 'P 1'
_space_group_IT_number 1
_space_group_name_Hall 'P 1'
_cell_length_a 4.992
_cell_length_b 5.457
_cell_length_c 5.457
_cell_angle_alpha 90.00
_cell_angle_beta 90.00
_cell_angle_gamma 90.00
loop_
_atom_site_label
_atom_site_type_symbol
_atom_site_fract_x
_atom_site_fract_y
_atom_site_fract_z
_atom_site_occupancy
Cd1 Cd 0.500 0.500 0.500 1
Ga1 Ga 0.500 0.000 0.000 1
Tl1 Tl 0.000 0.000 0.500 1
Tl2 Tl 0.000 0.500 0.000 1
Nb1 Nb 0.000 0.000 0.000 1
# Size of the total moment, μB per formula unit: 0.00
# ΔE_f, eV per atom: 0.700
# Total energy, eV/cell: -17.1


# 8
# YNbCdGa2 | the Alexandria database | GGA-PBEsol | relaxed
data_YNbCdGa2
_chemical_formula_sum 'Y1 Nb1 Cd1 Ga2'
_space_group_name_H-M_alt 'P 1'
_space_group_IT_number 1
_space_group_name_Hall 'P 1'
_cell_length_a 5.014
_cell_length_b 5.014
_cell_length_c 5.204
_cell_angle_alpha 90.00
_cell_angle_beta 90.00
_cell_angle_gamma 90.00
loop_
_atom_site_label
_atom_site_type_symbol
_atom_site_fract_x
_atom_site_fract_y
_atom_site_fract_z
_atom_site_occupancy
Cd1 Cd 0.500 0.500 0.500 1
Ga1 Ga 0.500 0.000 0.000 1
Ga2 Ga 0.000 0.500 0.000 1
Nb1 Nb 0.000 0.000 0.000 1
Y1 Y 0.000 0.000 0.500 1
# Size of the total moment, μB per formula unit: 0.00
# ΔE_f, eV per atom: 0.484
# Total energy, eV/cell: -23.1


# 9
# Tl2CdGaNi | the Alexandria database | GGA-PBEsol | relaxed
data_Tl2CdGaNi
_chemical_formula_sum 'Tl2 Cd1 Ga1 Ni1'
_space_group_name_H-M_alt 'P 1'
_space_group_IT_number 1
_space_group_name_Hall 'P 1'
_cell_length_a 4.581
_cell_length_b 5.026
_cell_length_c 5.026
_cell_angle_alpha 90.00
_cell_angle_beta 90.00
_cell_angle_gamma 90.00
loop_
_atom_site_label
_atom_site_type_symbol
_atom_site_fract_x
_atom_site_fract_y
_atom_site_fract_z
_atom_site_occupancy
Ga1 Ga 0.500 0.000 0.000 1
Tl1 Tl 0.000 0.500 0.000 1
Ni1 Ni 0.000 0.000 0.000 1
Tl2 Tl 0.000 0.000 0.500 1
Cd1 Cd 0.500 0.500 0.500 1
# Size of the total moment, μB per formula unit: 0.00
# ΔE_f, eV per atom: 0.097
# Total energy, eV/cell: -15.5


# 10
# CdGa2O4 | the Alexandria database | GGA-PBEsol | relaxed
data_CdGa2O4
_chemical_formula_sum 'Cd8 Ga16 O32'
_space_group_name_H-M_alt 'P 1'
_space_group_IT_number 1
_space_group_name_Hall 'P 1'
_cell_length_a 6.089
_cell_length_b 6.089
_cell_length_c 20.397
_cell_angle_alpha 81.42
_cell_angle_beta 81.42
_cell_angle_gamma 60.00
loop_
_atom_site_label
_atom_site_type_symbol
_atom_site_fract_x
_atom_site_fract_y
_atom_site_fract_z
_atom_site_occupancy
Cd1 Cd 0.438 0.438 0.685 1
O1 O 0.009 0.582 0.401 1
Ga1 Ga 0.972 0.972 0.590 1
Cd2 Cd 0.343 0.343 0.972 1
O2 O 0.756 0.333 0.155 1
Cd3 Cd 0.688 0.688 0.937 1
O3 O 0.150 0.150 0.043 1
Ga2 Ga 0.719 0.719 0.344 1
O4 O 0.032 0.032 0.905 1
O5 O 0.428 0.428 0.286 1
Ga3 Ga 0.223 0.710 0.844 1
Ga4 Ga 0.719 0.218 0.344 1
O6 O 0.814 0.274 0.639 1
O7 O 0.333 0.756 0.155 1
O8 O 0.274 0.274 0.639 1
O9 O 0.100 0.683 0.535 1
O10 O 0.683 0.683 0.535 1
Ga5 Ga 0.465 0.972 0.590 1
Ga6 Ga 0.223 0.223 0.844 1
Cd4 Cd 0.095 0.095 0.716 1
Ga7 Ga 0.844 0.844 0.468 1
Cd5 Cd 0.188 0.188 0.435 1
O11 O 0.519 0.519 0.895 1
O12 O 0.780 0.780 0.659 1
Ga8 Ga 0.999 0.999 0.003 1
Cd6 Cd 0.937 0.937 0.188 1
O13 O 0.428 0.859 0.286 1
Ga9 Ga 0.593 0.593 0.222 1
O14 O 0.150 0.657 0.043 1
O15 O 0.393 0.908 0.791 1
O16 O 0.908 0.908 0.791 1
O17 O 0.274 0.814 0.639 1
O18 O 0.859 0.428 0.286 1
O19 O 0.902 0.902 0.294 1
Ga10 Ga 0.710 0.223 0.844 1
Cd7 Cd 0.251 0.251 0.248 1
Ga11 Ga 0.748 0.748 0.755 1
Ga12 Ga 0.218 0.719 0.344 1
Cd8 Cd 0.499 0.499 0.503 1
O20 O 0.154 0.154 0.539 1
O21 O 0.519 0.068 0.895 1
Ga13 Ga 0.960 0.472 0.096 1
O22 O 0.756 0.756 0.155 1
O23 O 0.535 0.535 0.394 1
O24 O 0.683 0.100 0.535 1
Ga14 Ga 0.472 0.960 0.096 1
O25 O 0.652 0.652 0.045 1
Ga15 Ga 0.472 0.472 0.096 1
O26 O 0.287 0.287 0.138 1
O27 O 0.582 0.009 0.401 1
O28 O 0.068 0.519 0.895 1
Ga16 Ga 0.972 0.465 0.590 1
O29 O 0.009 0.009 0.401 1
O30 O 0.657 0.150 0.043 1
O31 O 0.908 0.393 0.791 1
O32 O 0.403 0.403 0.791 1
# Size of the total moment, μB per formula unit: 0.00
# Formation energy from raw total energies, eV/atom: -1.65
# Total energy, eV/cell: -323.1


# 11
# CdGa2O4 | the Alexandria database | GGA-PBEsol | relaxed
data_CdGa2O4
_chemical_formula_sum 'Cd4 Ga8 O16'
_space_group_name_H-M_alt 'P 1'
_space_group_IT_number 1
_space_group_name_Hall 'P 1'
_cell_length_a 2.974
_cell_length_b 9.132
_cell_length_c 10.614
_cell_angle_alpha 90.00
_cell_angle_beta 90.00
_cell_angle_gamma 90.00
loop_
_atom_site_label
_atom_site_type_symbol
_atom_site_fract_x
_atom_site_fract_y
_atom_site_fract_z
_atom_site_occupancy
O1 O 0.250 0.704 0.660 1
O2 O 0.250 0.530 0.217 1
Cd1 Cd 0.250 0.757 0.346 1
Ga1 Ga 0.250 0.916 0.605 1
O3 O 0.750 0.582 0.430 1
O4 O 0.750 0.970 0.717 1
O5 O 0.750 0.470 0.783 1
O6 O 0.250 0.204 0.840 1
Ga2 Ga 0.250 0.416 0.895 1
O7 O 0.250 0.918 0.930 1
Cd2 Cd 0.750 0.243 0.654 1
O8 O 0.750 0.796 0.160 1
Ga3 Ga 0.250 0.936 0.113 1
Ga4 Ga 0.750 0.064 0.887 1
Cd3 Cd 0.750 0.743 0.846 1
O9 O 0.250 0.418 0.570 1
Ga5 Ga 0.250 0.436 0.387 1
Ga6 Ga 0.750 0.564 0.613 1
O10 O 0.750 0.296 0.340 1
Ga7 Ga 0.750 0.584 0.105 1
O11 O 0.250 0.116 0.523 1
Ga8 Ga 0.750 0.084 0.395 1
O12 O 0.250 0.616 0.977 1
Cd4 Cd 0.250 0.257 0.154 1
O13 O 0.750 0.884 0.477 1
O14 O 0.750 0.082 0.070 1
O15 O 0.750 0.384 0.023 1
O16 O 0.250 0.030 0.283 1
# Size of the total moment, μB per formula unit: 0.00
# Formation energy from raw total energies, eV/atom: -1.63
# Total energy, eV/cell: -161.2


# 12
# CdGaO2 | the Alexandria database | GGA-PBEsol | relaxed
data_CdGaO2
_chemical_formula_sum 'Cd1 Ga1 O2'
_space_group_name_H-M_alt 'P 1'
_space_group_IT_number 1
_space_group_name_Hall 'P 1'
_cell_length_a 4.028
_cell_length_b 4.028
_cell_length_c 4.028
_cell_angle_alpha 60.00
_cell_angle_beta 60.00
_cell_angle_gamma 60.00
loop_
_atom_site_label
_atom_site_type_symbol
_atom_site_fract_x
_atom_site_fract_y
_atom_site_fract_z
_atom_site_occupancy
O1 O 0.750 0.750 0.750 1
Ga1 Ga 0.000 0.000 0.000 1
O2 O 0.250 0.250 0.250 1
Cd1 Cd 0.500 0.500 0.500 1
# Size of the total moment, μB per formula unit: 0.00
# Formation energy from raw total energies, eV/atom: -0.51
# Total energy, eV/cell: -17.1